*w*
{
  "formula": "ZrAgBr2",
  "functional": "PBEsol",
  "state": "relaxed",
  "total_magnetization_mub_per_cell": 0.0,
  "dos_ef_per_ev_atom": 0.792,
  "cell": [[3.3199, 0.0000, 0.0270], [0.0000, 4.5631, 0.0000], [-0.0966, 0.0000, 5.8596]],
  "species": ["Br", "Br", "Zr", "Ag"],
  "frac_coords": [[0.7031, 0.0000, 0.7596], [0.2969, 0.0000, 0.2404], [0.5000, 0.5000, 0.0000], [0.0000, 0.5000, 0.5000]]
}

*x*
{
  "formula": "ZrAgBr2",
  "functional": "PBEsol",
  "state": "relaxed",
  "total_magnetization_mub_per_cell": 0.0,
  "dos_ef_per_ev_atom": 0.369,
  "cell": [[-0.4365, -3.3945, -0.0089], [2.5721, -0.3366, 2.2326], [-5.0227, 0.6305, 5.8816]],
  "species": ["Br", "Br", "Ag", "Zr"],
  "frac_coords": [[0.5000, 0.5000, 0.3090], [0.0000, 0.0000, 0.9162], [0.5000, 0.5000, 0.7422], [0.0000, 0.0000, 0.5326]]
}

*y*
{
  "formula": "ZrAgBr2",
  "functional": "PBEsol",
  "state": "relaxed",
  "total_magnetization_mub_per_cell": 0.0,
  "dos_ef_per_ev_atom": 0.282,
  "cell": [[-0.8628, 0.3025, -3.1912], [-1.2654, -2.5997, -1.6309], [-9.6806, 1.9197, 1.0727]],
  "species": ["Ag", "Br", "Br", "Zr"],
  "frac_coords": [[0.5000, 0.5000, 0.5000], [0.7328, 0.7328, 0.8017], [0.2672, 0.2672, 0.1983], [0.0000, 0.0000, 0.0000]]
}

*z*
{
  "formula": "ZrAgBr2",
  "functional": "PBEsol",
  "state": "relaxed",
  "total_magnetization_mub_per_cell": 0.0,
  "dos_ef_per_ev_atom": 0.925,
  "cell": [[3.3555, 0.0000, 0.0000], [0.0000, 4.9127, 0.0597], [0.0000, -0.6295, 4.8726]],
  "species": ["Br", "Br", "Ag", "Zr"],
  "frac_coords": [[0.0000, 0.0000, 0.5000], [0.0000, 0.5000, 0.0000], [0.5000, 0.5000, 0.5000], [0.5000, 0.0000, 0.0000]]
}

Which structure above is the least stable? It is *z*.